[1]
! PrHf2As4, optimized geometry, DFT GGA-PBE; values from VASP
! DOS(E_F)   0.326 states/eV per atom
! Space group   Cmcm, No. 63
! Formation enthalpy at 0 K   -0.9236 eV/atom
&SYSTEM
  ibrav = 0, nat = 14, ntyp = 3
/
ATOMIC_SPECIES
Hf 178.49 Hf.upf
As 74.92 As.upf
Pr 140.91 Pr.upf
CELL_PARAMETERS angstrom
3.9300 0.0000 0.0000
-1.9650 6.4327 0.0000
0.0000 0.0000 12.9371
ATOMIC_POSITIONS crystal
Hf 0.1338 0.2675 0.0576
Hf 0.1338 0.2675 0.4424
Hf 0.8662 0.7325 0.9424
Hf 0.8662 0.7325 0.5576
As 0.9323 0.8646 0.7500
As 0.2382 0.4764 0.8761
As 0.0677 0.1354 0.2500
As 0.5000 0.0000 0.5000
As 0.7618 0.5236 0.1239
As 0.2382 0.4764 0.6239
As 0.7618 0.5236 0.3761
As 0.5000 0.0000 0.0000
Pr 0.6084 0.2168 0.7500
Pr 0.3916 0.7832 0.2500



[2]
! Pr2PuHfAs4, optimized geometry, DFT GGA-PBE; values from VASP
! DOS(E_F)   1.586 states/eV per atom
! Space group   P2/m, No. 10
! Formation enthalpy at 0 K   -1.2489 eV/atom
&SYSTEM
  ibrav = 0, nat = 8, ntyp = 4
/
ATOMIC_SPECIES
Pu 244.00 Pu.upf
As 74.92 As.upf
Hf 178.49 Hf.upf
Pr 140.91 Pr.upf
CELL_PARAMETERS angstrom
4.1285 0.0000 0.0000
0.0000 7.1395 0.1337
0.0000 -2.4852 6.7335
ATOMIC_POSITIONS crystal
Pu 0.5000 0.5000 0.0000
As 0.5000 0.7674 0.7753
As 0.0000 0.2471 0.7705
As 0.0000 0.7529 0.2295
As 0.5000 0.2326 0.2247
Hf 0.0000 0.0000 0.0000
Pr 0.0000 0.5000 0.5000
Pr 0.5000 0.0000 0.5000



[3]
! PrHfAs2Rh5, optimized geometry, DFT GGA-PBE; values from VASP
! DOS(E_F)   0.415 states/eV per atom
! Space group   P4/mmm, No. 123
! Formation enthalpy at 0 K   -0.6034 eV/atom
&SYSTEM
  ibrav = 0, nat = 9, ntyp = 4
/
ATOMIC_SPECIES
As 74.92 As.upf
Rh 102.91 Rh.upf
Hf 178.49 Hf.upf
Pr 140.91 Pr.upf
CELL_PARAMETERS angstrom
-2.3666 -0.6755 3.2908
-3.1901 -0.8099 -2.4605
2.7467 -10.3597 -0.1511
ATOMIC_POSITIONS crystal
As 0.5000 0.5000 0.7220
As 0.5000 0.5000 0.2780
Rh 0.0000 0.5000 0.8364
Rh 0.5000 0.5000 0.5000
Rh 0.5000 0.0000 0.8364
Rh 0.0000 0.5000 0.1636
Rh 0.5000 0.0000 0.1636
Hf 0.0000 0.0000 0.0000
Pr 0.0000 0.0000 0.5000



[4]
! Pr2HfScAs4, optimized geometry, DFT GGA-PBE; values from VASP
! DOS(E_F)   0.183 states/eV per atom
! Space group   P2/m, No. 10
! Formation enthalpy at 0 K   -1.3369 eV/atom
&SYSTEM
  ibrav = 0, nat = 8, ntyp = 4
/
ATOMIC_SPECIES
As 74.92 As.upf
Sc 44.96 Sc.upf
Hf 178.49 Hf.upf
Pr 140.91 Pr.upf
CELL_PARAMETERS angstrom
4.0674 0.0000 0.0000
0.0000 7.0370 0.1254
0.0000 -2.4565 6.6330
ATOMIC_POSITIONS crystal
As 0.0000 0.7428 0.2213
As 0.0000 0.2572 0.7787
As 0.5000 0.2386 0.2208
As 0.5000 0.7614 0.7792
Sc 0.5000 0.5000 0.0000
Hf 0.0000 0.0000 0.0000
Pr 0.5000 0.0000 0.5000
Pr 0.0000 0.5000 0.5000



[5]
! Pr2SmHfAs4, optimized geometry, DFT GGA-PBE; values from VASP
! DOS(E_F)   0.182 states/eV per atom
! Space group   P2/m, No. 10
! Formation enthalpy at 0 K   -1.3631 eV/atom
&SYSTEM
  ibrav = 0, nat = 8, ntyp = 4
/
ATOMIC_SPECIES
Hf 178.49 Hf.upf
As 74.92 As.upf
Pr 140.91 Pr.upf
Sm 150.36 Sm.upf
CELL_PARAMETERS angstrom
-3.7483 0.1465 1.7674
-0.5599 -7.1427 -0.5955
3.0448 1.6189 6.3234
ATOMIC_POSITIONS crystal
Hf 0.0000 0.0000 0.0000
As 0.5000 0.2303 0.2266
As 0.0000 0.7578 0.2345
As 0.5000 0.7697 0.7734
As 0.0000 0.2422 0.7655
Pr 0.5000 0.0000 0.5000
Pr 0.0000 0.5000 0.5000
Sm 0.5000 0.5000 0.0000



[6]
! TbPr2HfAs4, optimized geometry, DFT GGA-PBE; values from VASP
! DOS(E_F)   0.182 states/eV per atom
! Space group   P2/m, No. 10
! Formation enthalpy at 0 K   -1.3738 eV/atom
&SYSTEM
  ibrav = 0, nat = 8, ntyp = 4
/
ATOMIC_SPECIES
As 74.92 As.upf
Tb 158.93 Tb.upf
Pr 140.91 Pr.upf
Hf 178.49 Hf.upf
CELL_PARAMETERS angstrom
4.1269 0.0000 0.0000
0.0000 7.1504 0.1348
0.0000 -2.4885 6.7284
ATOMIC_POSITIONS crystal
As 0.0000 0.7544 0.2315
As 0.5000 0.2322 0.2253
As 0.0000 0.2456 0.7685
As 0.5000 0.7678 0.7747
Tb 0.5000 0.5000 0.0000
Pr 0.0000 0.5000 0.5000
Pr 0.5000 0.0000 0.5000
Hf 0.0000 0.0000 0.0000



[7]
! Pr2TmHfAs4, optimized geometry, DFT GGA-PBE; values from VASP
! DOS(E_F)   0.179 states/eV per atom
! Space group   P2/m, No. 10
! Formation enthalpy at 0 K   -1.3684 eV/atom
&SYSTEM
  ibrav = 0, nat = 8, ntyp = 4
/
ATOMIC_SPECIES
As 74.92 As.upf
Hf 178.49 Hf.upf
Pr 140.91 Pr.upf
Tm 168.93 Tm.upf
CELL_PARAMETERS angstrom
4.1077 0.0000 0.0000
0.0000 7.1159 0.1319
0.0000 -2.4788 6.7005
ATOMIC_POSITIONS crystal
As 0.5000 0.2343 0.2241
As 0.0000 0.2493 0.7716
As 0.0000 0.7507 0.2284
As 0.5000 0.7657 0.7759
Hf 0.0000 0.0000 0.0000
Pr 0.5000 0.0000 0.5000
Pr 0.0000 0.5000 0.5000
Tm 0.5000 0.5000 0.0000



[8]
! Pr2HfUAs4, optimized geometry, DFT GGA-PBE; values from VASP
! DOS(E_F)   0.967 states/eV per atom
! Space group   P2/m, No. 10
! Formation enthalpy at 0 K   -1.1634 eV/atom
&SYSTEM
  ibrav = 0, nat = 8, ntyp = 4
/
ATOMIC_SPECIES
As 74.92 As.upf
Pr 140.91 Pr.upf
Hf 178.49 Hf.upf
U 238.03 U.upf
CELL_PARAMETERS angstrom
4.0996 0.0000 0.0000
0.0000 7.1098 0.1409
0.0000 -2.4678 6.7498
ATOMIC_POSITIONS crystal
As 0.0000 0.2487 0.7715
As 0.0000 0.7513 0.2285
As 0.5000 0.2342 0.2228
As 0.5000 0.7658 0.7772
Pr 0.5000 0.0000 0.5000
Pr 0.0000 0.5000 0.5000
Hf 0.0000 0.0000 0.0000
U 0.5000 0.5000 0.0000